(1)
Material: La3Dy2Ho7
Method: DFT, GGA-PBE
State: relaxed

Theoretical density ... 7528 kg/m3
Energy relative to the elements ... 233 meV/atom
Crystal system ... orthorhombic
Uncorrected energy ... -4.44 eV/atom

Cell lengths 3.6530, 5.6240, 20.4411 Å; angles 90.00, 95.12, 90.00 degrees
Closest atoms and distances in Å follow each position.
Fractional positions:
La: 0.5000 0.5000 0.0000  8 Ho 3.32-3.35, 2 La 3.65
La: 0.8280 0.0000 0.6557  4 Dy 3.64, 2 La 3.65, 6 Ho 3.79-4.01
La: 0.1720 0.0000 0.3443  4 Dy 3.64, 2 La 3.65, 6 Ho 3.79-4.01
Ho: 0.4152 0.0000 0.8309  6 Ho 3.42-3.65, 2 Dy 3.53
Ho: 0.0684 0.5000 0.1364  2 La 3.32-3.33, 2 Dy 3.34-3.35, 6 Ho 3.42-3.65
Ho: 0.5848 0.0000 0.1691  6 Ho 3.42-3.65, 2 Dy 3.53
Ho: 0.2844 0.5000 0.5686  1 Dy 3.20, 2 Ho 3.34
Ho: 0.9316 0.5000 0.8636  2 La 3.32-3.33, 2 Dy 3.34-3.35, 6 Ho 3.42-3.65
Ho: 0.7156 0.5000 0.4314  1 Dy 3.20, 2 Ho 3.34
Ho: 0.0000 0.0000 0.0000  4 La 3.35, 2 Ho 3.65
Dy: 0.6371 0.5000 0.2741  5 Ho 3.20-3.53
Dy: 0.3629 0.5000 0.7259  5 Ho 3.20-3.53

---

(2)
Material: LaDy2Ho4
Method: DFT, GGA-PBE
State: relaxed

Theoretical density ... 8324 kg/m3
Relative energy among the computed polymorphs ... 82 meV/atom
Energy relative to the elements ... 124 meV/atom
Crystal system ... monoclinic
Uncorrected energy ... -4.51 eV/atom

Cell lengths 6.0818, 6.5897, 11.6719 Å; angles 90.00, 106.59, 90.00 degrees
Closest atoms and distances in Å follow each position.
Fractional positions:
Ho: 0.6384 0.4908 0.2898  4 Ho 3.17-3.46, 1 La 3.32, 1 Dy 3.40
Ho: 0.6384 0.0092 0.2898  4 Ho 3.17-3.46, 1 La 3.32, 1 Dy 3.40
Ho: 0.1412 0.7500 0.4223  4 Dy 3.33-3.41, 1 La 3.43, 4 Ho 3.46-3.61
Ho: 0.8588 0.2500 0.5777  4 Dy 3.33-3.41, 1 La 3.43, 4 Ho 3.46-3.61
Ho: 0.3616 0.9908 0.7102  4 Ho 3.17-3.46, 1 La 3.32, 1 Dy 3.40
Ho: 0.0202 0.2500 0.1662  2 Dy 3.26-3.44, 3 La 3.38-3.49, 2 Ho 3.45
Ho: 0.9798 0.7500 0.8338  2 Dy 3.26-3.44, 3 La 3.38-3.49, 2 Ho 3.45
Ho: 0.3616 0.5092 0.7102  4 Ho 3.17-3.46, 1 La 3.32, 1 Dy 3.40
Dy: 0.2937 0.2500 0.4509  9 Ho 3.26-3.56
Dy: 0.7063 0.7500 0.5491  9 Ho 3.26-3.56
Dy: 0.6111 0.7500 0.0090  2 La 3.35-3.36, 5 Ho 3.44-3.74, 2 Dy 3.54
Dy: 0.3889 0.2500 0.9910  2 La 3.35-3.36, 5 Ho 3.44-3.74, 2 Dy 3.54
La: 0.1816 0.7500 0.1352  6 Ho 3.32-3.49, 2 Dy 3.35-3.36
La: 0.8184 0.2500 0.8648  6 Ho 3.32-3.49, 2 Dy 3.35-3.36

---

(3)
Material: LaDyHo
Method: DFT, GGA-PBE
State: relaxed

Theoretical density ... 7766 kg/m3
Relative energy among the computed polymorphs ... 10 meV/atom
Energy relative to the elements ... 31 meV/atom
Crystal system ... tetragonal
Uncorrected energy ... -4.67 eV/atom

Cell lengths 3.6198, 3.6198, 8.0292 Å; angles 103.03, 103.03, 90.00 degrees
Closest atoms and distances in Å follow each position.
Fractional positions:
La: 0.3331 0.3331 0.6662  4 La 3.62, 4 Ho 3.64, 4 Dy 3.64
Ho: 0.6635 0.6635 0.3269  4 Dy 3.53, 4 Ho 3.62, 4 La 3.64
Dy: 0.0034 0.0034 0.0069  4 Ho 3.53, 4 Dy 3.62, 4 La 3.64

---

(4)
Material: La2DyHo
Method: DFT, GGA-PBE
State: relaxed

Theoretical density ... 7382 kg/m3
Relative energy among the computed polymorphs ... 0 meV/atom
Energy relative to the elements ... 23 meV/atom
Crystal system ... tetragonal
Uncorrected energy ... -4.74 eV/atom

Cell lengths 4.9910, 5.2228, 5.2228 Å; angles 90.00, 90.00, 90.00 degrees
Closest atoms and distances in Å follow each position.
Fractional positions:
La: 0.0000 0.5000 0.0000  4 Dy 3.61, 4 Ho 3.61, 4 La 3.69
La: 0.0000 0.0000 0.5000  4 Dy 3.61, 4 Ho 3.61, 4 La 3.69
Dy: 0.5000 0.0000 0.0000  8 La 3.61, 4 Ho 3.69
Ho: 0.5000 0.5000 0.5000  8 La 3.61, 4 Dy 3.69

---

Copy entry 4 word for word.
Material: La2DyHo
Method: DFT, GGA-PBE
State: relaxed

Theoretical density ... 7382 kg/m3
Relative energy among the computed polymorphs ... 0 meV/atom
Energy relative to the elements ... 23 meV/atom
Crystal system ... tetragonal
Uncorrected energy ... -4.74 eV/atom

Cell lengths 4.9910, 5.2228, 5.2228 Å; angles 90.00, 90.00, 90.00 degrees
Closest atoms and distances in Å follow each position.
Fractional positions:
La: 0.0000 0.5000 0.0000  4 Dy 3.61, 4 Ho 3.61, 4 La 3.69
La: 0.0000 0.0000 0.5000  4 Dy 3.61, 4 Ho 3.61, 4 La 3.69
Dy: 0.5000 0.0000 0.0000  8 La 3.61, 4 Ho 3.69
Ho: 0.5000 0.5000 0.5000  8 La 3.61, 4 Dy 3.69